The following is a PBE-GGA calculation of crystalline Tb3Al2GePt9 at its relaxed geometry, from the Alexandria database.

Cell: 6.578 6.578 8.553 Å, 90.00 90.00 120.00°
Sites, in units of the cell vectors:
Tb 0.333 0.667 0.732
Tb 0.000 0.000 0.000
Tb 0.667 0.333 0.268
Al 0.333 0.667 0.191
Al 0.667 0.333 0.809
Ge 0.000 0.000 0.500
Pt 0.861 0.139 0.724
Pt 0.861 0.722 0.724
Pt 0.278 0.139 0.724
Pt 0.722 0.861 0.276
Pt 0.139 0.278 0.276
Pt 0.139 0.861 0.276
Pt 0.500 0.000 0.000
Pt 0.000 0.500 0.000
Pt 0.500 0.500 0.000

Computed properties:
Its density of states at the Fermi level is 5.386 states/eV/cell. As for the energy: -6.0261 eV/atom. The total magnetic moment is 0.0 μB per formula unit. As for the crystal system: trigonal.